No. 1
# LaNbWAu2 | Alexandria via LeMat-Bulk | PBE | optimized geometry
# mass density = 9.900 Mg/m³
# spin magnetization = 0.0 μB/f.u.
# energy relative to the elements = 200.1 kJ/mol of atoms
# DOS(E_F) = 7.12 states/eV per cell
data_LaNbWAu2
_space_group_name_H-M_alt 'P 4/m m m'
_space_group_IT_number 123
_space_group_name_Hall '-P 4 2'
_cell_length_a 5.228
_cell_length_b 5.228
_cell_length_c 4.968
_cell_angle_alpha 90.00
_cell_angle_beta 90.00
_cell_angle_gamma 90.00
loop_
_atom_site_label
_atom_site_fract_x
_atom_site_fract_y
_atom_site_fract_z
La1 0.000 0.000 0.000
Nb1 0.500 0.500 0.500
W1 0.000 0.000 0.500
Au1 0.000 0.500 0.000

***

No. 2
# Li2YPb | Alexandria via LeMat-Bulk | PBE | optimized geometry
# mass density = 5.542 Mg/m³
# spin magnetization = 0.0 μB/f.u.
# energy relative to the elements = -28.7 kJ/mol of atoms
# DOS(E_F) = 7.98 states/eV per cell
data_Li2YPb
_space_group_name_H-M_alt 'R 3 m'
_space_group_IT_number 160
_space_group_name_Hall 'R 3 -2"'
_cell_length_a 5.0808
_cell_length_b 5.0808
_cell_length_c 12.4618
_cell_angle_alpha 90.00
_cell_angle_beta 90.00
_cell_angle_gamma 120.00
loop_
_atom_site_label
_atom_site_fract_x
_atom_site_fract_y
_atom_site_fract_z
Li1 0.0000 0.0000 0.0000
Li2 0.0000 0.0000 0.2504
Y1 0.0000 0.0000 0.5000
Pb1 0.0000 0.0000 0.7498

***

No. 3
# DyYAlHg | Alexandria via LeMat-Bulk | PBE | optimized geometry
# offset from the most stable computed form = 31 meV per atom
# mass density = 7.955 Mg/m³
# spin magnetization = 0.0 μB/f.u.
# energy relative to the elements = -40.3 kJ/mol of atoms
# DOS(E_F) = 18.07 states/eV per cell
data_DyYAlHg
_space_group_name_H-M_alt 'F -4 3 m'
_space_group_IT_number 216
_space_group_name_Hall 'F -4 2 3'
_cell_length_a 7.367
_cell_length_b 7.367
_cell_length_c 7.367
_cell_angle_alpha 90.00
_cell_angle_beta 90.00
_cell_angle_gamma 90.00
loop_
_atom_site_label
_atom_site_fract_x
_atom_site_fract_y
_atom_site_fract_z
Dy1 0.000 0.000 0.000
Y1 0.000 0.000 0.500
Al1 0.250 0.250 0.250
Hg1 0.250 0.250 0.750